Compound: Tb12Bi6Os
Source: Alexandria via LeMat-Bulk
Functional: PBE
Structure: optimized geometry

Cell lengths 8.716, 8.716, 8.716 Å; angles 99.64, 99.64, 99.64 degrees
Atoms (fractional coordinates):
Tb (0.004, 0.942, 0.689)
Tb (0.058, 0.311, 0.996)
Tb (0.201, 0.543, 0.414)
Tb (0.311, 0.996, 0.058)
Tb (0.414, 0.201, 0.543)
Tb (0.457, 0.586, 0.799)
Tb (0.543, 0.414, 0.201)
Tb (0.586, 0.799, 0.457)
Tb (0.689, 0.004, 0.942)
Tb (0.799, 0.457, 0.586)
Tb (0.942, 0.689, 0.004)
Tb (0.996, 0.058, 0.311)
Bi (0.118, 0.318, 0.650)
Bi (0.318, 0.650, 0.118)
Bi (0.350, 0.882, 0.682)
Bi (0.650, 0.118, 0.318)
Bi (0.682, 0.350, 0.882)
Bi (0.882, 0.682, 0.350)
Os (0.000, 0.000, 0.000)

## Properties
formation energy from the elements = -0.4582 eV per atom
mass density = 8.8 g/cm3
size of the total moment = 0.00 μB per formula unit
symmetry = No. 148


Compound: Tb4Bi2Os
Source: Alexandria via LeMat-Bulk
Functional: PBE
Structure: optimized geometry

Cell lengths 8.006, 12.284, 4.402 Å; angles 90.00, 90.00, 90.00 degrees
Atoms (fractional coordinates):
Tb (0.130, 0.196, 0.000)
Tb (0.209, 0.943, 0.500)
Tb (0.291, 0.443, 0.500)
Tb (0.370, 0.696, 0.000)
Tb (0.630, 0.304, 0.000)
Tb (0.709, 0.557, 0.500)
Tb (0.791, 0.057, 0.500)
Tb (0.870, 0.804, 0.000)
Bi (0.080, 0.673, 0.500)
Bi (0.420, 0.173, 0.500)
Bi (0.580, 0.827, 0.500)
Bi (0.920, 0.327, 0.500)
Os (0.000, 0.000, 0.000)
Os (0.500, 0.500, 0.000)

## Properties
formation energy from the elements = -0.5432 eV per atom
mass density = 9.5 g/cm3
size of the total moment = 0.00 μB per formula unit
symmetry = No. 55


Compound: Tb3BiOs
Source: Alexandria via LeMat-Bulk
Functional: PBE
Structure: optimized geometry

Cell lengths 7.935, 7.935, 8.815 Å; angles 118.63, 118.63, 36.35 degrees
Atoms (fractional coordinates):
Tb (0.070, 0.070, 0.213)
Tb (0.247, 0.247, 0.763)
Tb (0.399, 0.399, 0.187)
Tb (0.601, 0.601, 0.813)
Tb (0.753, 0.753, 0.237)
Tb (0.930, 0.930, 0.787)
Bi (0.360, 0.360, 0.514)
Bi (0.640, 0.640, 0.486)
Os (0.167, 0.167, 0.003)
Os (0.833, 0.833, 0.997)

## Properties
formation energy from the elements = -0.3957 eV per atom
mass density = 10.2 g/cm3
size of the total moment = 0.00 μB per formula unit
symmetry = No. 12


Compound: Tc2BiOs
Source: Alexandria via LeMat-Bulk
Functional: PBE
Structure: optimized geometry

Cell lengths 7.092, 7.092, 7.092 Å; angles 130.79, 130.79, 72.15 degrees
Atoms (fractional coordinates):
Tc (0.079, 0.625, 0.954)
Tc (0.375, 0.329, 0.454)
Tc (0.671, 0.125, 0.046)
Tc (0.875, 0.921, 0.546)
Bi (0.250, 0.750, 0.500)
Bi (0.500, 0.500, 0.000)
Os (0.000, 0.000, 0.000)
Os (0.750, 0.250, 0.500)

## Properties
formation energy from the elements = 1.1974 eV per atom
mass density = 9.9 g/cm3
size of the total moment = 0.00 μB per formula unit
symmetry = No. 122